1.
The following is a DFT calculation (PBE) of crystalline AsSe2O6 at its relaxed geometry.

Unit cell a=7.093 b=6.599 c=7.447 alpha=68.60 beta=60.66 gamma=40.23
Site moments in Bohr magnetons follow the coordinates.
Element x y z (fractional)
As1 0.180 0.880 0.007  0.21
Se1 0.110 0.662 0.812  0.01
Se2 0.746 0.406 0.258  0.02
O1 0.028 0.294 0.001  0.12
O2 0.067 0.986 0.785  0.14
O3 0.201 0.560 0.039  0.14
O4 0.447 0.394 0.638  0.01
O5 0.817 0.085 0.237  0.03
O6 0.403 0.732 0.223  0.14

The uncorrected formation energy is -680 meV/atom. Its space group is P1, No. 1.

***

2.
The following is a DFT calculation (PBE) of crystalline Nd2YHf at its relaxed geometry.

Unit cell a=4.056 b=4.056 c=7.396 alpha=90.00 beta=90.00 gamma=90.00
Element x y z (fractional)
Y1 0.500 0.500 0.000
Nd1 0.000 0.000 0.723
Nd2 0.000 0.000 0.277
Hf1 0.500 0.500 0.500

The value obtained for the formation energy from the elements is 82.0 kJ/mol of formula units. As for the energy above the lowest structure with this stoichiometry: 42 meV per atom. Its space group is P4/mmm, No. 123.

***

3.
The following is a DFT calculation (PBE) of crystalline Zr4ZnN at its relaxed geometry.

Unit cell a=3.248 b=6.204 c=11.258 alpha=90.00 beta=98.29 gamma=90.00
Element x y z (fractional)
Zr1 0.500 0.000 0.000
Zr2 0.500 0.500 0.000
Zr3 0.907 0.250 0.815
Zr4 0.093 0.750 0.185
Zr5 0.310 0.008 0.620
Zr6 0.690 0.508 0.380
Zr7 0.310 0.492 0.620
Zr8 0.690 0.992 0.380
Zn1 0.098 0.250 0.195
Zn2 0.902 0.750 0.805
N1 0.799 0.250 0.598
N2 0.201 0.750 0.402

As for the energy above the lowest structure with this stoichiometry: 190 meV per atom. The uncorrected formation energy is -426 meV/atom. Its space group is Cmcm, No. 63.

***

4.
The following is a DFT calculation (PBE) of crystalline Na3Pm3TeO8 at its relaxed geometry.

Unit cell a=7.051 b=7.051 c=6.935 alpha=120.56 beta=90.00 gamma=120.00
Element x y z (fractional)
Na1 0.000 0.000 0.000
Na2 0.000 0.500 0.000
Na3 0.500 0.500 0.000
Pm1 0.500 0.000 0.500
Pm2 0.500 0.500 0.500
Pm3 0.000 0.500 0.500
Te1 0.000 0.000 0.500
O1 0.263 0.525 0.288
O2 0.737 0.475 0.712
O3 0.776 0.552 0.295
O4 0.224 0.448 0.705
O5 0.776 0.019 0.295
O6 0.224 0.981 0.705
O7 0.243 0.019 0.295
O8 0.757 0.981 0.705

The uncorrected formation energy is -2319 meV/atom. Its space group is R-3m, No. 166.

***

5.
The following is a DFT calculation (PBE) of crystalline BaNaLa2Ni at its relaxed geometry.

Unit cell a=5.505 b=5.505 c=6.504 alpha=90.00 beta=90.00 gamma=90.00
Element x y z (fractional)
Ni1 0.000 0.000 0.000
Na1 0.500 0.500 0.500
Ba1 0.000 0.000 0.500
La1 0.000 0.500 0.000
La2 0.500 0.000 0.000

The value obtained for the formation energy from the elements is 16.3 kJ/mol of formula units. As for the energy above the lowest structure with this stoichiometry: 0 meV per atom. Its space group is P4/mmm, No. 123.

***

6.
The following is a DFT calculation (PBE) of crystalline Tb3Nd2Dy3 at its relaxed geometry.

Unit cell a=5.074 b=5.074 c=10.724 alpha=103.68 beta=103.69 gamma=90.00
Element x y z (fractional)
Tb1 0.623 0.623 0.246
Tb2 0.377 0.377 0.754
Tb3 0.500 0.000 0.000
Nd1 0.750 0.250 0.500
Nd2 0.250 0.750 0.500
Dy1 0.123 0.123 0.246
Dy2 0.000 0.500 0.000
Dy3 0.877 0.877 0.754

The value obtained for the formation energy from the elements is 15.1 kJ/mol of formula units. Its space group is Immm, No. 71.

***

7.
The following is a DFT calculation (PBE) of crystalline ZrAl2Pb at its relaxed geometry.

Unit cell a=5.539 b=5.539 c=5.539 alpha=135.95 beta=135.94 gamma=64.07
Element x y z (fractional)
Pb1 0.500 0.500 0.000
Al1 0.000 0.000 0.000
Al2 0.750 0.250 0.500
Zr1 0.250 0.750 0.500

The value obtained for the formation energy from the elements is -64.1 kJ/mol of formula units. Its space group is I-4m2, No. 119.

***

8.
The following is a DFT calculation (PBE) of crystalline AcPr4Nd at its relaxed geometry.

Unit cell a=13.759 b=3.731 c=11.338 alpha=90.01 beta=124.21 gamma=105.72
Element x y z (fractional)
Ac1 0.403 0.153 0.807
Ac2 0.597 0.847 0.193
Pr1 0.378 0.628 0.479
Pr2 0.674 0.924 0.833
Pr3 0.898 0.649 0.521
Pr4 0.840 0.591 0.167
Pr5 0.622 0.372 0.521
Pr6 0.102 0.351 0.479
Pr7 0.326 0.076 0.167
Pr8 0.160 0.409 0.833
Nd1 0.921 0.671 0.843
Nd2 0.079 0.329 0.157

The value obtained for the formation energy from the elements is 55.6 kJ/mol of formula units. As for the energy above the lowest structure with this stoichiometry: 0 meV per atom. Its space group is Cmcm, No. 63.

***

9.
The following is a DFT calculation (PBE) of crystalline NbGeH3 at its relaxed geometry.

Unit cell a=3.667 b=3.667 c=3.667 alpha=90.00 beta=90.00 gamma=90.00
Element x y z (fractional)
H1 0.000 0.500 0.000
H2 0.000 0.000 0.500
H3 0.500 0.000 0.000
Nb1 0.000 0.000 0.000
Ge1 0.500 0.500 0.500

As for the energy above the lowest structure with this stoichiometry: 0 meV per atom. Its space group is Pm-3m, No. 221.

***

10.
The following is a DFT calculation (PBE) of crystalline BaScV2 at its relaxed geometry.

Unit cell a=4.666 b=4.666 c=10.705 alpha=77.41 beta=77.41 gamma=90.00
Element x y z (fractional)
Sc1 0.500 0.500 0.000
Sc2 0.250 0.750 0.500
Ba1 0.000 0.000 0.000
Ba2 0.750 0.250 0.500
V1 0.355 0.125 0.250
V2 0.395 0.625 0.250
V3 0.375 0.645 0.750
V4 0.875 0.605 0.750

The value obtained for the formation energy from the elements is 471.3 kJ/mol of formula units. As for the energy above the lowest structure with this stoichiometry: 267 meV per atom. Its space group is I-42d, No. 122.

***

11.
The following is a DFT calculation (PBE) of crystalline CaTi4S8 at its relaxed geometry.

Unit cell a=6.851 b=6.851 c=9.064 alpha=56.01 beta=56.01 gamma=60.03
Element x y z (fractional)
Ca1 0.500 0.500 0.500
Ti1 0.758 0.242 0.000
Ti2 0.242 0.758 0.000
Ti3 0.244 0.244 0.007
Ti4 0.756 0.756 0.993
S1 0.979 0.480 0.210
S2 0.480 0.979 0.210
S3 0.483 0.483 0.203
S4 0.979 0.979 0.211
S5 0.021 0.021 0.789
S6 0.517 0.517 0.797
S7 0.520 0.021 0.790
S8 0.021 0.520 0.790

As for the energy above the lowest structure with this stoichiometry: 3 meV per atom. The uncorrected formation energy is -1483 meV/atom. Its space group is C2/m, No. 12.

***

12.
The following is a DFT calculation (PBE) of crystalline TiGeRh2C at its relaxed geometry.

Unit cell a=3.916 b=4.764 c=3.916 alpha=90.00 beta=90.00 gamma=90.00
Element x y z (fractional)
Ge1 0.000 0.500 0.000
Rh1 0.000 0.000 0.500
Rh2 0.500 0.000 0.000
C1 0.000 0.000 0.000
Ti1 0.500 0.500 0.500

The value obtained for the formation energy from the elements is 56.1 kJ/mol of formula units. Its space group is P4/mmm, No. 123.

***

13.
The following is a DFT calculation (PBE) of crystalline TiAg3S4 at its relaxed geometry.

Unit cell a=6.067 b=6.067 c=6.067 alpha=90.00 beta=90.00 gamma=90.00
Element x y z (fractional)
S1 0.219 0.219 0.219
S2 0.219 0.781 0.781
S3 0.781 0.219 0.781
S4 0.781 0.781 0.219
Ag1 0.000 0.000 0.500
Ag2 0.000 0.500 0.000
Ag3 0.500 0.000 0.000
Ti1 0.000 0.000 0.000

As for the energy above the lowest structure with this stoichiometry: 0 meV per atom. The uncorrected formation energy is -492 meV/atom. Its space group is P-43m, No. 215.

***

14.
The following is a DFT calculation (PBE) of crystalline Bi2Sb2Pd at its relaxed geometry.

Unit cell a=4.234 b=4.234 c=8.996 alpha=76.39 beta=76.39 gamma=90.00
Element x y z (fractional)
Sb1 0.419 0.419 0.163
Sb2 0.581 0.581 0.837
Bi1 0.750 0.250 0.500
Bi2 0.250 0.750 0.500
Pd1 0.000 0.000 0.000

As for the energy above the lowest structure with this stoichiometry: 506 meV per atom. The uncorrected formation energy is 427 meV/atom. Its space group is I4/mmm, No. 139.

***

15.
The following is a DFT calculation (PBE) of crystalline K2Tl3ZnF12 at its relaxed geometry.

Unit cell a=7.988 b=7.988 c=7.988 alpha=61.52 beta=61.52 gamma=61.52
Element x y z (fractional)
K1 0.677 0.677 0.677
K2 0.323 0.323 0.323
Tl1 0.500 0.000 0.000
Tl2 0.000 0.500 0.000
Tl3 0.000 0.000 0.500
Zn1 0.000 0.000 0.000
F1 0.333 0.333 0.955
F2 0.934 0.934 0.302
F3 0.302 0.934 0.934
F4 0.955 0.333 0.333
F5 0.934 0.302 0.934
F6 0.333 0.955 0.333
F7 0.667 0.667 0.045
F8 0.066 0.066 0.698
F9 0.698 0.066 0.066
F10 0.045 0.667 0.667
F11 0.066 0.698 0.066
F12 0.667 0.045 0.667

The uncorrected formation energy is -2101 meV/atom. Its space group is R-3m, No. 166.

***

16.
The following is a DFT calculation (PBE) of crystalline LaSm4Cu at its relaxed geometry.

Unit cell a=3.631 b=3.631 c=13.906 alpha=90.00 beta=90.00 gamma=90.00
Element x y z (fractional)
La1 0.000 0.000 0.000
Sm1 0.500 0.500 0.189
Sm2 0.000 0.000 0.622
Sm3 0.000 0.000 0.378
Sm4 0.500 0.500 0.811
Cu1 0.500 0.500 0.500

The value obtained for the formation energy from the elements is -18.7 kJ/mol of formula units. Its space group is P4/mmm, No. 123.

***

17.
The following is a DFT calculation (PBE) of crystalline CaPrMgPt at its relaxed geometry.

Unit cell a=5.214 b=5.214 c=5.214 alpha=60.00 beta=60.00 gamma=60.00
Element x y z (fractional)
Pr1 0.000 0.000 0.000
Ca1 0.500 0.500 0.500
Mg1 0.250 0.250 0.250
Pt1 0.750 0.750 0.750

The value obtained for the formation energy from the elements is -192.9 kJ/mol of formula units. Its space group is F-43m, No. 216.

***

18.
The following is a DFT calculation (PBE) of crystalline SrFeTc2Rh at its relaxed geometry.

Unit cell a=4.722 b=4.722 c=4.722 alpha=90.00 beta=90.00 gamma=90.00
Site moments in Bohr magnetons follow the coordinates.
Element x y z (fractional)
Sr1 0.000 0.000 0.000  -0.02
Rh1 0.000 0.500 0.000  0.41
Tc1 0.000 0.000 0.500  1.18
Tc2 0.500 0.000 0.000  1.25
Fe1 0.500 0.500 0.500  -0.11

The value obtained for the formation energy from the elements is 1506.9 kJ/mol of formula units. Its space group is P4/mmm, No. 123.

***

19.
The following is a DFT calculation (PBE) of crystalline Ac3NpPd12 at its relaxed geometry.

Unit cell a=4.274 b=4.274 c=17.056 alpha=90.00 beta=90.00 gamma=90.00
Site moments in Bohr magnetons follow the coordinates.
Element x y z (fractional)
Ac1 0.000 0.000 0.247  -0.01
Ac2 0.000 0.000 0.500  0.00
Ac3 0.000 0.000 0.753  -0.01
Np1 0.000 0.000 0.000  3.31
Pd1 0.500 0.500 0.000  -0.09
Pd2 0.500 0.500 0.243  -0.01
Pd3 0.500 0.500 0.500  0.00
Pd4 0.500 0.500 0.757  -0.01
Pd5 0.500 0.000 0.114  -0.06
Pd6 0.500 0.000 0.372  0.00
Pd7 0.500 0.000 0.628  0.00
Pd8 0.500 0.000 0.886  -0.06
Pd9 0.000 0.500 0.114  -0.06
Pd10 0.000 0.500 0.372  0.00
Pd11 0.000 0.500 0.628  0.00
Pd12 0.000 0.500 0.886  -0.06

The value obtained for the formation energy from the elements is -1021.5 kJ/mol of formula units. Its space group is P4/mmm, No. 123.

***

20.
The following is a DFT calculation (PBE) of crystalline EuAl2Tc at its relaxed geometry.

Unit cell a=3.253 b=3.253 c=7.283 alpha=90.00 beta=90.00 gamma=90.00
Site moments in Bohr magnetons follow the coordinates.
Element x y z (fractional)
Eu1 0.500 0.500 0.500  6.83
Tc1 0.500 0.500 0.000  0.12
Al1 0.000 0.000 0.821  0.00
Al2 0.000 0.000 0.179  0.00

The value obtained for the formation energy from the elements is -94.7 kJ/mol of formula units. Its space group is P4/mmm, No. 123.

***

| no. | spin magnetization (μB per atom) |
| --- | --- |
| 1 | 0.113 |
| 2 | 0.000 |
| 3 | 0.000 |
| 4 | 0.000 |
| 5 | 0.003 |
| 6 | 0.000 |
| 7 | 0.000 |
| 8 | 0.000 |
| 9 | 0.000 |
| 10 | 0.001 |
| 11 | 0.000 |
| 12 | 0.000 |
| 13 | 0.000 |
| 14 | 0.000 |
| 15 | 0.000 |
| 16 | 0.000 |
| 17 | 0.000 |
| 18 | 0.561 |
| 19 | 0.185 |
| 20 | 1.809 |